The following is a DFT calculation (PBE+U) of crystalline VBP2O at its relaxed geometry.

The energy above the lowest structure with this stoichiometry comes out at 0 kJ/mol of formula units. The calculation puts the density at 3.6 g cm⁻³. The density of states at the Fermi level is 2.85 states/eV per cell.

Structure (POSCAR):
```
VBP2O
1.0
-2.400 2.110 -3.632
1.473 -3.495 -3.004
-2.224 -1.467 0.617
P B O V
2 1 1 1
Direct
0.000 0.500 0.000 P
0.500 0.000 0.000 P
0.000 0.000 0.000 B
0.000 0.000 0.500 O
0.500 0.500 0.500 V
```